1.
Density functional theory data (PBE) for an optimized crystal structure of SmDy6Ho4.

Its formation energy from the elements is 4.78 eV/f.u. The uncorrected energy comes out at -4.169 eV/atom. The energy above the most stable polymorph in this dataset is 0.3082 eV per atom.

Cell lengths 7.5412, 7.5412, 13.1786 Å; angles 90.00, 90.00, 90.00 degrees
Space group I-42m (No. 121)
Unique sites:
Sm1 0.0000 0.0000 0.0000 (multiplicity 2)
Dy1 0.0000 0.5000 0.0000 (multiplicity 4)
Dy2 0.2386 0.2386 0.1863 (multiplicity 8)
Ho1 0.1641 0.1641 0.4216 (multiplicity 8)

---

2.
Density functional theory data (PBE) for an optimized crystal structure of K2CdS.

The uncorrected energy comes out at -2.264 eV/atom. For the uncorrected formation energy, the calculation gives -0.455 eV/atom. The energy above the most stable polymorph in this dataset is 0.0982 eV per atom.

Cell lengths 9.1774, 9.1774, 7.3728 Å; angles 90.00, 90.00, 90.00 degrees
Space group I-42d (No. 122)
Unique sites:
K1 0.1821 0.2500 0.1250 (multiplicity 8)
Cd1 0.0000 0.0000 0.5000 (multiplicity 4)
S1 0.0000 0.0000 0.0000 (multiplicity 4)

---

3.
Density functional theory data (PBE) for an optimized crystal structure of LaRe3F.

The uncorrected energy comes out at -5.643 eV/atom. For the uncorrected formation energy, the calculation gives 3.186 eV/atom. The energy above the most stable polymorph in this dataset is 1.9735 eV per atom.

Cell lengths 4.8430, 4.8430, 4.8430 Å; angles 90.00, 90.00, 90.00 degrees
Space group Pm-3m (No. 221)
Unique sites:
La1 0.0000 0.0000 0.0000 (multiplicity 1)
Re1 0.0000 0.0000 0.5000 (multiplicity 3)
F1 0.5000 0.5000 0.5000 (multiplicity 1)

---

4.
Density functional theory data (PBE) for an optimized crystal structure of Sr2CaCr.

Its formation energy from the elements is 1.79 eV/f.u. The uncorrected energy comes out at -3.299 eV/atom. The energy above the most stable polymorph in this dataset is 0.0480 eV per atom.

Cell lengths 4.4217, 6.0820, 11.7298 Å; angles 90.00, 90.00, 90.00 degrees
Space group Immm (No. 71)
Unique sites:
Sr1 0.0000 0.0000 0.2153 (multiplicity 4)
Ca1 0.0000 0.5000 0.0000 (multiplicity 2)
Cr1 0.0000 0.5000 0.5000 (multiplicity 2)

---

5.
Density functional theory data (PBE) for an optimized crystal structure of CeTlSi2O6.

The uncorrected energy comes out at -7.503 eV/atom. For the uncorrected formation energy, the calculation gives -2.614 eV/atom.

Cell lengths 10.6253, 10.4588, 5.4388 Å; angles 90.00, 100.16, 90.00 degrees
Space group C2/c (No. 15)
Unique sites:
Ce1 0.0000 0.1254 0.2500 (multiplicity 4)
Tl1 0.0000 0.3279 0.7500 (multiplicity 4)
Si1 0.2210 0.4207 0.2898 (multiplicity 8)
O1 0.1231 0.0685 0.6515 (multiplicity 8)
O2 0.1532 0.2824 0.2447 (multiplicity 8)
O3 0.1680 0.4919 0.5307 (multiplicity 8)

---

6.
Density functional theory data (PBE) for an optimized crystal structure of ZnInPd.

Its formation energy from the elements is -0.90 eV/f.u. The uncorrected energy comes out at -3.367 eV/atom.

Cell lengths 6.2272, 6.2272, 6.2272 Å; angles 90.00, 90.00, 90.00 degrees
Space group F-43m (No. 216)
Unique sites:
Zn1 0.0000 0.0000 0.0000 (multiplicity 4)
In1 0.0000 0.0000 0.5000 (multiplicity 4)
Pd1 0.2500 0.2500 0.7500 (multiplicity 4)

---

7.
Density functional theory data (PBE) for an optimized crystal structure of K2CuTc.

Its formation energy from the elements is 5.80 eV/f.u. The uncorrected energy comes out at -2.714 eV/atom. The energy above the most stable polymorph in this dataset is 0.6350 eV per atom.

Cell lengths 8.0208, 8.0208, 8.0208 Å; angles 90.00, 90.00, 90.00 degrees
Space group Fm-3m (No. 225)
Unique sites:
K1 0.2500 0.2500 0.2500 (multiplicity 8)
Cu1 0.0000 0.0000 0.0000 (multiplicity 4)
Tc1 0.0000 0.0000 0.5000 (multiplicity 4)

---

8.
Density functional theory data (PBE) for an optimized crystal structure of SrVAu.

Its formation energy from the elements is 4.17 eV/f.u. The uncorrected energy comes out at -3.303 eV/atom. The energy above the most stable polymorph in this dataset is 1.4204 eV per atom.

Cell lengths 5.1052, 5.1052, 12.8879 Å; angles 90.00, 90.00, 120.00 degrees
Space group P6_3/mmc (No. 194)
Unique sites:
Sr1 0.0000 0.0000 0.2500 (multiplicity 2)
V1 0.0000 0.0000 0.0000 (multiplicity 2)
Au1 0.3333 0.6667 0.2500 (multiplicity 2)

---

9.
Density functional theory data (PBE) for an optimized crystal structure of Th5MgHg4.

Its formation energy from the elements is -0.41 eV/f.u. The uncorrected energy comes out at -4.031 eV/atom.

Cell lengths 17.1956, 3.6199, 9.2542 Å; angles 90.00, 95.92, 90.00 degrees
Space group C2/m (No. 12)
Unique sites:
Th1 0.0000 0.0000 0.0000 (multiplicity 2)
Th2 0.1512 0.5000 0.7247 (multiplicity 4)
Th3 0.1872 0.5000 0.1085 (multiplicity 4)
Mg1 0.0000 0.0000 0.5000 (multiplicity 2)
Hg1 0.0366 0.5000 0.2877 (multiplicity 4)
Hg2 0.1786 0.0000 0.4241 (multiplicity 4)

---

10.
Density functional theory data (PBE) for an optimized crystal structure of NpFe2GeN.

The uncorrected energy comes out at -8.982 eV/atom. For the uncorrected formation energy, the calculation gives -0.420 eV/atom.

Cell lengths 3.3811, 11.1691, 7.2175 Å; angles 90.00, 90.00, 90.00 degrees
Space group Cmcm (No. 63)
Unique sites:
Np1 0.0000 0.0303 0.2500 (multiplicity 4)
Fe1 0.0000 0.3342 0.0511 (multiplicity 8)
Ge1 0.0000 0.2421 0.7500 (multiplicity 4)
N1 0.0000 0.5000 0.0000 (multiplicity 4)

---

11.
Density functional theory data (PBE) for an optimized crystal structure of MnFeGePt.

Its formation energy from the elements is -0.69 eV/f.u. The uncorrected energy comes out at -7.244 eV/atom.

Cell lengths 6.0072, 6.0072, 6.0072 Å; angles 90.00, 90.00, 90.00 degrees
Space group F-43m (No. 216)
Unique sites:
Mn1 0.0000 0.0000 0.0000 (multiplicity 4)
Fe1 0.2500 0.2500 0.2500 (multiplicity 4)
Ge1 0.0000 0.0000 0.5000 (multiplicity 4)
Pt1 0.2500 0.2500 0.7500 (multiplicity 4)

---

12.
Density functional theory data (PBE) for an optimized crystal structure of Tl3SnH.

The uncorrected energy comes out at -2.718 eV/atom. The energy above the most stable polymorph in this dataset is 0.0000 eV per atom.

Cell lengths 19.5503, 3.4529, 7.9679 Å; angles 90.00, 95.30, 90.00 degrees
Space group C2/m (No. 12)
Unique sites:
Tl1 0.0203 0.0000 0.1976 (multiplicity 4)
Tl2 0.1678 0.5000 0.9142 (multiplicity 4)
Tl3 0.1976 0.0000 0.3413 (multiplicity 4)
Sn1 0.0800 0.5000 0.5404 (multiplicity 4)
H1 0.1335 0.0000 0.0785 (multiplicity 4)